MgPdSN2 | PBE-GGA | optimized geometry

Summary:
As for the uncorrected formation energy: 1.414 eV/atom.

Cell lengths 3.910, 3.910, 5.116 Å; angles 90.00, 90.00, 90.00 degrees
Each line ends with the local moment (μB).
Sites, in units of the cell vectors:
1 S 0.000 0.000 0.500  0.19
2 Mg 0.000 0.000 0.000  -0.01
3 Pd 0.500 0.500 0.500  0.02
4 N 0.000 0.500 0.000  0.95
5 N 0.500 0.000 0.000  0.95